The following is a DFT calculation (PBEsol) of a relaxed structure of MnSbPt2.

a = 4.9776 Å, b = 4.9776 Å, c = 4.9776 Å
α = 133.05°, β = 133.05°, γ = 68.58°
Element x y z (fractional)
Mn 0.0000 0.0000 0.0000
Sb 0.7500 0.2500 0.5000
Pt 0.2500 0.7500 0.5000
Pt 0.5000 0.5000 0.0000

Values from the calculation:
ρ = 14.6 g cm⁻³
VASP energy = -7.22 eV per atom
crystal system = tetragonal
space group = I-4m2, No. 119
uncorrected formation energy = -0.1538 eV/atom


The following is a DFT calculation (PBEsol) of a relaxed structure of Mn2SbPt.

a = 4.9649 Å, b = 4.9649 Å, c = 4.9649 Å
α = 134.65°, β = 134.65°, γ = 66.08°
Element x y z (fractional)
Mn 0.0000 0.0000 0.0000
Mn 0.7500 0.2500 0.5000
Sb 0.2500 0.7500 0.5000
Pt 0.5000 0.5000 0.0000

Values from the calculation:
ρ = 11.6 g cm⁻³
VASP energy = -7.74 eV per atom
crystal system = tetragonal
space group = I-4m2, No. 119
uncorrected formation energy = 0.0257 eV/atom


The following is a DFT calculation (PBEsol) of a relaxed structure of MnSbPt2.

a = 3.5163 Å, b = 3.5785 Å, c = 5.3811 Å
α = 90.00°, β = 90.00°, γ = 90.00°
Element x y z (fractional)
Mn 0.0000 0.0000 0.0000
Sb 0.5000 0.5000 0.6787
Pt 0.0000 0.0000 0.4829
Pt 0.5000 0.5000 0.1770

Values from the calculation:
ρ = 13.9 g cm⁻³
VASP energy = -7.18 eV per atom
crystal system = orthorhombic
space group = Pmm2, No. 25
uncorrected formation energy = -0.1180 eV/atom


The following is a DFT calculation (PBEsol) of a relaxed structure of ScMn2Pt.

a = 4.8165 Å, b = 4.8165 Å, c = 4.8165 Å
α = 131.94°, β = 131.94°, γ = 70.32°
Element x y z (fractional)
Sc 0.0000 0.0000 0.0000
Mn 0.5000 0.5000 0.0000
Mn 0.7500 0.2500 0.5000
Pt 0.2500 0.7500 0.5000

Values from the calculation:
ρ = 9.6 g cm⁻³
VASP energy = -8.44 eV per atom
crystal system = tetragonal
space group = I-4m2, No. 119


The following is a DFT calculation (PBEsol) of a relaxed structure of ScMnPt2.

a = 5.0011 Å, b = 5.0011 Å, c = 5.0011 Å
α = 134.87°, β = 134.87°, γ = 65.73°
Element x y z (fractional)
Sc 0.0000 0.0000 0.0000
Mn 0.2500 0.7500 0.5000
Pt 0.5000 0.5000 0.0000
Pt 0.7500 0.2500 0.5000

Values from the calculation:
ρ = 13.1 g cm⁻³
VASP energy = -8.29 eV per atom
crystal system = tetragonal
space group = I-4m2, No. 119


The following is a DFT calculation (PBEsol) of a relaxed structure of ScMn3Pt.

a = 4.3496 Å, b = 4.3496 Å, c = 4.3496 Å
α = 90.00°, β = 90.00°, γ = 90.00°
Element x y z (fractional)
Sc 0.0000 0.0000 0.0000
Mn 0.0000 0.0000 0.5000
Mn 0.0000 0.5000 0.0000
Mn 0.5000 0.0000 0.0000
Pt 0.5000 0.5000 0.5000

Values from the calculation:
ρ = 8.2 g cm⁻³
VASP energy = -7.13 eV per atom
crystal system = cubic
space group = Pm-3m, No. 221


The following is a DFT calculation (PBEsol) of a relaxed structure of ScMnPt2.

a = 4.4450 Å, b = 4.4450 Å, c = 4.4450 Å
α = 60.00°, β = 60.00°, γ = 60.00°
Element x y z (fractional)
Sc 0.0000 0.0000 0.0000
Mn 0.2500 0.2500 0.2500
Pt 0.5000 0.5000 0.5000
Pt 0.7500 0.7500 0.7500

Values from the calculation:
ρ = 13.1 g cm⁻³
VASP energy = -8.07 eV per atom
crystal system = cubic
space group = F-43m, No. 216


The following is a DFT calculation (PBEsol) of a relaxed structure of Sc2MnPt.

a = 3.3134 Å, b = 3.3134 Å, c = 6.7097 Å
α = 90.00°, β = 90.00°, γ = 90.00°
Element x y z (fractional)
Sc 0.0000 0.0000 0.0000
Sc 0.5000 0.5000 0.3520
Mn 0.0000 0.0000 0.5801
Pt 0.5000 0.5000 0.7965

Values from the calculation:
ρ = 7.7 g cm⁻³
VASP energy = -7.79 eV per atom
crystal system = tetragonal
space group = P4mm, No. 99


The following is a DFT calculation (PBEsol) of a relaxed structure of ScMn2Pt.

a = 8.4566 Å, b = 8.4566 Å, c = 8.4566 Å
α = 19.46°, β = 19.46°, γ = 19.46°
Element x y z (fractional)
Sc 0.0000 0.0000 0.0000
Mn 0.4909 0.4909 0.4909
Mn 0.7542 0.7542 0.7542
Pt 0.2424 0.2424 0.2424

Values from the calculation:
ρ = 9.9 g cm⁻³
VASP energy = -8.23 eV per atom
crystal system = trigonal
space group = R3m, No. 160


The following is a DFT calculation (PBEsol) of a relaxed structure of ScMnTe2Pt.

a = 5.3309 Å, b = 5.3309 Å, c = 4.8256 Å
α = 90.00°, β = 90.00°, γ = 90.00°
Element x y z (fractional)
Sc 0.0000 0.0000 0.0000
Mn 0.5000 0.5000 0.0000
Te 0.0000 0.5000 0.5000
Te 0.5000 0.0000 0.5000
Pt 0.0000 0.0000 0.5000

Values from the calculation:
ρ = 6.7 g cm⁻³
VASP energy = -5.67 eV per atom
crystal system = tetragonal
space group = P4/mmm, No. 123
uncorrected formation energy = 0.4067 eV/atom


The following is a DFT calculation (PBEsol) of a relaxed structure of MnPt3Se.

a = 4.5012 Å, b = 4.5012 Å, c = 4.5012 Å
α = 90.00°, β = 90.00°, γ = 90.00°
Element x y z (fractional)
Mn 0.0000 0.0000 0.0000
Pt 0.0000 0.0000 0.5000
Pt 0.0000 0.5000 0.0000
Pt 0.5000 0.0000 0.0000
Se 0.5000 0.5000 0.5000

Values from the calculation:
ρ = 13.1 g cm⁻³
VASP energy = -5.73 eV per atom
crystal system = cubic
space group = Pm-3m, No. 221
uncorrected formation energy = 1.1686 eV/atom


The following is a DFT calculation (PBEsol) of a relaxed structure of MnPtSe2.

a = 4.5545 Å, b = 4.5545 Å, c = 4.5545 Å
α = 60.00°, β = 60.00°, γ = 60.00°
Element x y z (fractional)
Mn 0.0000 0.0000 0.0000
Pt 0.2500 0.2500 0.2500
Se 0.5000 0.5000 0.5000
Se 0.7500 0.7500 0.7500

Values from the calculation:
ρ = 10.1 g cm⁻³
VASP energy = -5.75 eV per atom
crystal system = cubic
space group = F-43m, No. 216
polymorph energy (0 for the lowest one) = 244 meV per atom
uncorrected formation energy = 0.3515 eV/atom


The following is a DFT calculation (PBEsol) of a relaxed structure of MnPtSe2.

a = 4.4929 Å, b = 4.4929 Å, c = 4.4929 Å
α = 60.00°, β = 60.00°, γ = 60.00°
Element x y z (fractional)
Mn 0.0000 0.0000 0.0000
Pt 0.5000 0.5000 0.5000
Se 0.2500 0.2500 0.2500
Se 0.7500 0.7500 0.7500

Values from the calculation:
ρ = 10.6 g cm⁻³
VASP energy = -5.99 eV per atom
crystal system = cubic
space group = Fm-3m, No. 225
polymorph energy (0 for the lowest one) = 10 meV per atom
uncorrected formation energy = 0.1173 eV/atom


The following is a DFT calculation (PBEsol) of a relaxed structure of MnPtSe2.

a = 3.1268 Å, b = 3.1268 Å, c = 6.3275 Å
α = 90.00°, β = 90.00°, γ = 90.00°
Element x y z (fractional)
Mn 0.0000 0.0000 0.0000
Pt 0.0000 0.0000 0.5000
Se 0.5000 0.5000 0.2309
Se 0.5000 0.5000 0.7691

Values from the calculation:
ρ = 10.9 g cm⁻³
VASP energy = -6.00 eV per atom
crystal system = tetragonal
space group = P4/mmm, No. 123
polymorph energy (0 for the lowest one) = 0 meV per atom
uncorrected formation energy = 0.1077 eV/atom


The following is a DFT calculation (PBEsol) of a relaxed structure of MnSi3Pt.

a = 4.2754 Å, b = 4.2754 Å, c = 4.2754 Å
α = 90.00°, β = 90.00°, γ = 90.00°
Element x y z (fractional)
Mn 0.0000 0.0000 0.0000
Si 0.0000 0.0000 0.5000
Si 0.0000 0.5000 0.0000
Si 0.5000 0.0000 0.0000
Pt 0.5000 0.5000 0.5000

Values from the calculation:
ρ = 7.1 g cm⁻³
VASP energy = -6.49 eV per atom
crystal system = cubic
space group = Pm-3m, No. 221
uncorrected formation energy = 0.3031 eV/atom


The following is a DFT calculation (PBEsol) of a relaxed structure of MnSiPt2.

a = 2.7597 Å, b = 2.7597 Å, c = 6.9486 Å
α = 90.00°, β = 90.00°, γ = 90.00°
Element x y z (fractional)
Mn 0.0000 0.0000 0.0000
Si 0.5000 0.5000 0.7931
Pt 0.0000 0.0000 0.5635
Pt 0.5000 0.5000 0.2535

Values from the calculation:
ρ = 14.8 g cm⁻³
VASP energy = -7.71 eV per atom
crystal system = tetragonal
space group = P4mm, No. 99
uncorrected formation energy = -0.3474 eV/atom


The following is a DFT calculation (PBEsol) of a relaxed structure of MnSi2Pt.

a = 2.6710 Å, b = 2.6710 Å, c = 7.3545 Å
α = 90.00°, β = 90.00°, γ = 90.00°
Element x y z (fractional)
Mn 0.0000 0.0000 0.0000
Si 0.0000 0.0000 0.5084
Si 0.5000 0.5000 0.7858
Pt 0.5000 0.5000 0.2614

Values from the calculation:
ρ = 9.7 g cm⁻³
VASP energy = -7.17 eV per atom
crystal system = tetragonal
space group = P4mm, No. 99
uncorrected formation energy = -0.1131 eV/atom


The following is a DFT calculation (PBEsol) of a relaxed structure of MnSnPt.

a = 4.3210 Å, b = 4.3210 Å, c = 4.3210 Å
α = 60.00°, β = 60.00°, γ = 60.00°
Element x y z (fractional)
Mn 0.0000 0.0000 0.0000
Sn 0.5000 0.5000 0.5000
Pt 0.7500 0.7500 0.7500

Values from the calculation:
ρ = 10.7 g cm⁻³
VASP energy = -7.23 eV per atom
crystal system = cubic
space group = F-43m, No. 216


The following is a DFT calculation (PBEsol) of a relaxed structure of Sr2MnPt.

a = 6.3893 Å, b = 6.3893 Å, c = 6.3893 Å
α = 145.65°, β = 133.03°, γ = 59.47°
Element x y z (fractional)
Sr 0.0000 0.0000 0.0000
Sr 0.7070 0.2070 0.5000
Mn 0.3091 0.8091 0.5000
Pt 0.4559 0.4559 0.0000

Values from the calculation:
ρ = 6.6 g cm⁻³
VASP energy = -5.13 eV per atom
crystal system = orthorhombic
space group = Imm2, No. 44


The following is a DFT calculation (PBEsol) of a relaxed structure of TaMn2Pt.

a = 4.7342 Å, b = 4.7342 Å, c = 4.7342 Å
α = 133.52°, β = 133.52°, γ = 67.83°
Element x y z (fractional)
Ta 0.0000 0.0000 0.0000
Mn 0.2500 0.7500 0.5000
Mn 0.5000 0.5000 0.0000
Pt 0.7500 0.2500 0.5000

Values from the calculation:
ρ = 14.7 g cm⁻³
VASP energy = -9.99 eV per atom
crystal system = tetragonal
space group = I-4m2, No. 119
polymorph energy (0 for the lowest one) = 6 meV per atom